Model P:
The following is a PBE calculation of a relaxed BaLa2Au crystal, from Alexandria.

a = 12.809 Å, b = 3.907 Å, c = 6.869 Å
α = 90.00°, β = 120.00°, γ = 90.00°
Space group Cm (No. 8)
Asymmetric unit:
1 Ba 0.000 0.000 0.000
2 La 0.173 0.000 0.634
3 La 0.388 0.000 0.404
4 Au 0.220 0.500 0.013

Output
Fermi-level density of states (states/eV per cell): 12.072
Crystal system: monoclinic
Total magnetic moment (μB/f.u.): 0.000

***

Model Q:
The following is a PBE calculation of a relaxed BaLa2Au crystal, from Alexandria.

a = 3.927 Å, b = 3.927 Å, c = 9.409 Å
α = 90.00°, β = 90.00°, γ = 90.00°
Space group P4mm (No. 99)
Asymmetric unit:
1 Ba 0.000 0.000 0.000
2 La 0.000 0.000 0.600
3 La 0.500 0.500 0.344
4 Au 0.500 0.500 0.764

Output
Fermi-level density of states (states/eV per cell): 5.972
Crystal system: tetragonal
Total magnetic moment (μB/f.u.): 0.000

***

Least stable: model P

***

Model P:
The following is a PBE calculation of a relaxed SrReSe2 crystal, from Alexandria.

a = 3.558 Å, b = 3.710 Å, c = 13.380 Å
α = 90.00°, β = 90.00°, γ = 90.00°
Space group Imm2 (No. 44)
Asymmetric unit:
1 Sr 0.000 0.000 0.000
2 Re 0.000 0.500 0.738
3 Se 0.000 0.000 0.617
4 Se 0.000 0.500 0.318

Output
Fermi-level density of states (states/eV per cell): 5.043
Crystal system: orthorhombic
Total magnetic moment (μB/f.u.): 0.000

***

Model Q:
The following is a PBE calculation of a relaxed SrReSe2 crystal, from Alexandria.

a = 3.510 Å, b = 3.941 Å, c = 6.641 Å
α = 90.00°, β = 90.00°, γ = 90.00°
Space group Pmmm (No. 47)
Asymmetric unit:
1 Sr 0.000 0.000 0.000
2 Re 0.500 0.000 0.500
3 Se 0.500 0.500 0.269

Output
Fermi-level density of states (states/eV per cell): 3.555
Crystal system: orthorhombic
Total magnetic moment (μB/f.u.): 0.000

***

Least stable: model P

***

Model P:
The following is a PBE calculation of a relaxed MoIr2Rh crystal, from Alexandria.

a = 2.750 Å, b = 2.750 Å, c = 7.789 Å
α = 90.00°, β = 90.00°, γ = 90.00°
Space group P4/mmm (No. 123)
Asymmetric unit:
1 Mo 0.000 0.000 0.000
2 Ir 0.500 0.500 0.249
3 Rh 0.000 0.000 0.500

Output
Fermi-level density of states (states/eV per cell): 5.713
Crystal system: tetragonal
Total magnetic moment (μB/f.u.): 0.000

***

Model Q:
The following is a PBE calculation of a relaxed MoIr2Rh crystal, from Alexandria.

a = 2.7555 Å, b = 2.7555 Å, c = 26.9131 Å
α = 90.00°, β = 90.00°, γ = 120.00°
Space group R3m (No. 160, hexagonal axes)
Asymmetric unit:
1 Mo 0.0000 0.0000 0.0000
2 Ir 0.0000 0.0000 0.5002
3 Ir 0.0000 0.0000 0.7497
4 Rh 0.0000 0.0000 0.2507

Output
Fermi-level density of states (states/eV per cell): 16.627
Crystal system: trigonal
Total magnetic moment (μB/f.u.): 0.000

***

Least stable: model Q